--- P ---
DFT (GGA-PBE) results for crystalline SbC2O at its relaxed geometry.

Cell: 3.9461 3.9461 3.9461 Å, 60.00 60.00 60.00°
Positions (direct):
O 0.0000 0.0000 0.0000
C 0.2500 0.2500 0.2500
C 0.7500 0.7500 0.7500
Sb 0.5000 0.5000 0.5000

--- Q ---
DFT (GGA-PBE) results for crystalline SbC2O at its relaxed geometry.

Cell: 4.4138 4.4138 6.2138 Å, 69.20 69.20 90.00°
Positions (direct):
C 0.3750 0.4426 0.7500
C 0.5574 0.1250 0.2500
C 0.8750 0.8074 0.7500
C 0.1926 0.6250 0.2500
Sb 0.0000 0.0000 0.0000
Sb 0.7500 0.2500 0.5000
O 0.2500 0.7500 0.5000
O 0.5000 0.5000 0.0000

From most stable to least stable, the computed energies give Q, P.

--- P ---
DFT (GGA-PBE) results for crystalline Sc6C2O at its relaxed geometry.

Cell: 3.3004 6.6171 7.3533 Å, 103.42 102.97 90.00°
Positions (direct):
Sc 0.0047 0.2417 0.0094
Sc 0.3301 0.4298 0.6602
Sc 0.6627 0.0948 0.3255
Sc 0.3373 0.9052 0.6745
Sc 0.6699 0.5702 0.3398
Sc 0.9953 0.7583 0.9906
C 0.8364 0.6729 0.6727
C 0.1636 0.3271 0.3273
O 0.5000 0.0000 0.0000

--- Q ---
DFT (GGA-PBE) results for crystalline Sc6C2O at its relaxed geometry.

Cell: 5.6370 5.3997 9.7664 Å, 90.00 90.00 90.00°
Last column: magnetic moment on the atom in μB.
Positions (direct):
Sc 0.3367 0.7735 0.5000  0.14
Sc 0.1633 0.2735 0.0000  0.14
Sc 0.6633 0.2265 0.5000  0.14
Sc 0.1675 0.2465 0.3360  0.12
Sc 0.6675 0.2536 0.1639  0.12
Sc 0.3325 0.7464 0.8361  0.12
Sc 0.8325 0.7535 0.6640  0.12
Sc 0.8325 0.7536 0.3360  0.12
Sc 0.1675 0.2464 0.6640  0.12
Sc 0.3325 0.7465 0.1639  0.12
Sc 0.6675 0.2535 0.8361  0.12
Sc 0.8367 0.7265 0.0000  0.14
C 0.0000 0.5000 0.8250  -0.02
C 0.5000 0.0000 0.3250  -0.02
C 0.0000 0.5000 0.1750  -0.02
C 0.5000 0.0000 0.6750  -0.02
O 0.0000 0.0000 0.5000  -0.01
O 0.5000 0.5000 0.0000  -0.01

From most stable to least stable, the computed energies give P, Q.

--- P ---
DFT (GGA-PBE) results for crystalline Sc3CO at its relaxed geometry.

Cell: 4.1736 4.1736 4.1736 Å, 90.00 90.00 90.00°
Positions (direct):
Sc 0.5000 0.0000 0.0000
Sc 0.0000 0.5000 0.0000
Sc 0.0000 0.0000 0.5000
O 0.0000 0.0000 0.0000
C 0.5000 0.5000 0.5000

--- Q ---
DFT (GGA-PBE) results for crystalline Sc3CO at its relaxed geometry.

Cell: 5.8216 5.8216 6.7417 Å, 64.42 64.42 60.00°
Last column: magnetic moment on the atom in μB.
Positions (direct):
Sc 0.0855 0.4162 0.7245  0.19
Sc 0.5838 0.2262 0.2755  0.19
Sc 0.2262 0.9145 0.2755  0.19
Sc 0.9145 0.5838 0.2755  0.19
Sc 0.7738 0.0855 0.7245  0.19
Sc 0.4162 0.7738 0.7245  0.19
O 0.5769 0.5769 0.2692  0.01
O 0.4231 0.4231 0.7308  0.01
C 0.1698 0.1698 0.4906  -0.02
C 0.8302 0.8302 0.5094  -0.02

From most stable to least stable, the computed energies give Q, P.

--- P ---
DFT (GGA-PBE) results for crystalline ScC2O2 at its relaxed geometry.

Cell: 6.2445 6.2445 2.4534 Å, 90.00 90.00 90.00°
Positions (direct):
O 0.1398 0.3602 0.0000
O 0.8602 0.6398 0.0000
O 0.6398 0.1398 0.0000
O 0.3602 0.8602 0.0000
C 0.7651 0.7349 0.5000
C 0.2349 0.2651 0.5000
C 0.2651 0.7651 0.5000
C 0.7349 0.2349 0.5000
Sc 0.0000 0.0000 0.0000
Sc 0.5000 0.5000 0.0000

--- Q ---
DFT (GGA-PBE) results for crystalline ScC2O2 at its relaxed geometry.

Cell: 2.6303 2.6303 7.0320 Å, 79.22 79.22 90.00°
Positions (direct):
O 0.4187 0.4187 0.1626
O 0.5813 0.5813 0.8374
Sc 0.0000 0.0000 0.0000
C 0.7500 0.2500 0.5000
C 0.2500 0.7500 0.5000

From most stable to least stable, the computed energies give P, Q.

--- P ---
DFT (GGA-PBE) results for crystalline ScC3O at its relaxed geometry.

Cell: 3.6590 3.6590 3.6590 Å, 90.00 90.00 90.00°
Positions (direct):
C 0.0000 0.0000 0.5000
C 0.5000 0.0000 0.0000
C 0.0000 0.5000 0.0000
Sc 0.5000 0.5000 0.5000
O 0.0000 0.0000 0.0000

--- Q ---
DFT (GGA-PBE) results for crystalline ScC3O at its relaxed geometry.

Cell: 4.3106 4.3106 4.3106 Å, 90.00 90.00 90.00°
Last column: magnetic moment on the atom in μB.
Positions (direct):
Sc 0.0000 0.0000 0.0000  0.15
C 0.5000 0.0000 0.0000  0.15
C 0.0000 0.0000 0.5000  0.13
C 0.0000 0.5000 0.0000  0.19
O 0.5000 0.5000 0.5000  1.34

From most stable to least stable, the computed energies give P, Q.

--- P ---
DFT (GGA-PBE) results for crystalline Sc2ZnCO at its relaxed geometry.

Cell: 4.3963 4.1289 4.3963 Å, 90.00 90.00 90.00°
Positions (direct):
O 0.0000 0.5000 0.0000
C 0.0000 0.0000 0.0000
Sc 0.5000 0.0000 0.0000
Sc 0.0000 0.0000 0.5000
Zn 0.5000 0.5000 0.5000

--- Q ---
DFT (GGA-PBE) results for crystalline Sc2ZnCO at its relaxed geometry.

Cell: 4.4979 4.4979 3.6975 Å, 90.00 90.00 90.00°
Positions (direct):
C 0.0000 0.0000 0.0000
Zn 0.0000 0.0000 0.5000
O 0.5000 0.5000 0.5000
Sc 0.0000 0.5000 0.0000
Sc 0.5000 0.0000 0.0000

From most stable to least stable, the computed energies give Q, P.

--- P ---
DFT (GGA-PBE) results for crystalline SiC3O at its relaxed geometry.

Cell: 3.7292 3.7292 3.7292 Å, 90.00 90.00 90.00°
Positions (direct):
Si 0.0000 0.0000 0.0000
O 0.5000 0.5000 0.5000
C 0.0000 0.0000 0.5000
C 0.5000 0.0000 0.0000
C 0.0000 0.5000 0.0000

--- Q ---
DFT (GGA-PBE) results for crystalline SiC3O at its relaxed geometry.

Cell: 3.5685 3.5685 3.5685 Å, 90.00 90.00 90.00°
Positions (direct):
O 0.0000 0.0000 0.0000
C 0.0000 0.0000 0.5000
C 0.5000 0.0000 0.0000
C 0.0000 0.5000 0.0000
Si 0.5000 0.5000 0.5000

From most stable to least stable, the computed energies give P, Q.

--- P ---
DFT (GGA-PBE) results for crystalline SiC2O at its relaxed geometry.

Cell: 3.6462 3.6462 3.6462 Å, 60.00 60.00 60.00°
Last column: magnetic moment on the atom in μB.
Positions (direct):
Si 0.5000 0.5000 0.5000  0.01
C 0.7500 0.7500 0.7500  0.01
C 0.2500 0.2500 0.2500  0.01
O 0.0000 0.0000 0.0000  0.23

--- Q ---
DFT (GGA-PBE) results for crystalline SiC2O at its relaxed geometry.

Cell: 4.2363 4.2363 5.3373 Å, 66.62 66.62 90.00°
Positions (direct):
C 0.8750 0.8759 0.7500
C 0.3750 0.3741 0.7500
C 0.1241 0.6250 0.2500
C 0.6259 0.1250 0.2500
O 0.5000 0.5000 0.0000
O 0.2500 0.7500 0.5000
Si 0.7500 0.2500 0.5000
Si 0.0000 0.0000 0.0000

From most stable to least stable, the computed energies give Q, P.

--- P ---
DFT (GGA-PBE) results for crystalline Sm2CO at its relaxed geometry.

Cell: 6.2810 6.3025 8.0932 Å, 104.91 104.81 109.89°
Positions (direct):
Sm 0.4354 0.6902 0.8753
Sm 0.9400 0.1851 0.8753
Sm 0.1830 0.4376 0.3747
Sm 0.5646 0.3098 0.1247
Sm 0.0600 0.8149 0.1247
Sm 0.6917 0.9371 0.3747
Sm 0.3083 0.0629 0.6253
Sm 0.8170 0.5624 0.6253
C 0.8127 0.0627 0.1254
C 0.9374 0.6874 0.3748
C 0.1873 0.9373 0.8746
C 0.0626 0.3126 0.6252
O 0.5639 0.8139 0.6277
O 0.6889 0.4389 0.8779
O 0.3111 0.5611 0.1221
O 0.4361 0.1861 0.3723

--- Q ---
DFT (GGA-PBE) results for crystalline Sm2CO at its relaxed geometry.

Cell: 3.9116 3.9116 7.2654 Å, 74.38 74.38 60.00°
Positions (direct):
Sm 0.1018 0.1018 0.6945
Sm 0.8982 0.8982 0.3055
C 0.5000 0.5000 0.5000
O 0.0000 0.0000 0.0000

--- R ---
DFT (GGA-PBE) results for crystalline Sm2CO at its relaxed geometry.

Cell: 3.6538 5.0794 7.2743 Å, 90.00 90.00 90.00°
Positions (direct):
Sm 0.5000 0.5000 0.1288
Sm 0.0000 0.0000 0.3784
Sm 0.5000 0.5000 0.6216
Sm 0.0000 0.0000 0.8712
O 0.0000 0.5000 0.8782
O 0.5000 0.0000 0.1218
C 0.0000 0.5000 0.3623
C 0.5000 0.0000 0.6377

From most stable to least stable, the computed energies give P, R, Q.

--- P ---
DFT (GGA-PBE) results for crystalline Sm6C2O at its relaxed geometry.

Cell: 6.2581 6.0692 10.8616 Å, 90.00 90.00 90.00°
Last column: magnetic moment on the atom in μB.
Positions (direct):
Sm 0.3368 0.7436 0.1653  0.07
Sm 0.8364 0.7267 0.0000  0.08
Sm 0.1632 0.2434 0.6653  0.07
Sm 0.6632 0.2566 0.1653  0.07
Sm 0.1636 0.2733 0.0000  0.08
Sm 0.6632 0.2564 0.8347  0.07
Sm 0.8368 0.7564 0.6653  0.07
Sm 0.3368 0.7434 0.8347  0.07
Sm 0.6636 0.2267 0.5000  0.08
Sm 0.1632 0.2436 0.3347  0.07
Sm 0.8368 0.7566 0.3347  0.07
Sm 0.3364 0.7733 0.5000  0.08
C 0.5000 0.9999 0.6704  -0.02
C 0.5000 0.0001 0.3296  -0.02
C 0.0000 0.5001 0.1704  -0.02
C 0.0000 0.4999 0.8296  -0.02
O 0.0000 0.0000 0.5000  0.00
O 0.5000 0.5000 0.0000  0.00

--- Q ---
DFT (GGA-PBE) results for crystalline Sm6C2O at its relaxed geometry.

Cell: 3.6652 7.5387 8.3534 Å, 105.88 102.67 90.00°
Last column: magnetic moment on the atom in μB.
Positions (direct):
O 0.5000 0.0000 0.0000  0.00
Sm 0.3284 0.4334 0.6569  0.13
Sm 0.6716 0.5666 0.3431  0.13
Sm 0.6597 0.0980 0.3194  0.13
Sm 0.3403 0.9020 0.6806  0.13
Sm 0.0061 0.2340 0.0122  0.12
Sm 0.9939 0.7660 0.9878  0.12
C 0.8363 0.6730 0.6725  -0.01
C 0.1637 0.3270 0.3275  -0.01

From most stable to least stable, the computed energies give Q, P.

--- P ---
DFT (GGA-PBE) results for crystalline SrC2O4 at its relaxed geometry.

Cell: 5.8428 8.6961 8.8633 Å, 90.00 90.00 90.00°
Positions (direct):
O 0.7073 0.6870 0.4378
O 0.5124 0.3218 0.2407
O 0.0124 0.1782 0.7593
O 0.2927 0.1870 0.0622
O 0.4876 0.8218 0.2593
O 0.6403 0.3743 0.6256
O 0.2073 0.8130 0.5622
O 0.7731 0.0858 0.4126
O 0.2731 0.4142 0.5874
O 0.9876 0.6782 0.7407
O 0.8597 0.6257 0.1256
O 0.7927 0.3130 0.9378
O 0.7269 0.9142 0.9126
O 0.1403 0.1257 0.3744
O 0.2269 0.5858 0.0874
O 0.3597 0.8743 0.8744
C 0.8981 0.2465 0.8453
C 0.5451 0.9540 0.8364
C 0.1019 0.7465 0.6547
C 0.3981 0.2535 0.1547
C 0.6019 0.7535 0.3453
C 0.0451 0.5460 0.1636
C 0.9549 0.0460 0.3364
C 0.4549 0.4540 0.6636
Sr 0.4389 0.1193 0.5734
Sr 0.0611 0.8807 0.0734
Sr 0.5611 0.6193 0.9266
Sr 0.9389 0.3807 0.4266

--- Q ---
DFT (GGA-PBE) results for crystalline SrC2O4 at its relaxed geometry.

Cell: 6.8239 7.6108 9.0293 Å, 90.00 90.00 90.00°
Last column: magnetic moment on the atom in μB.
Positions (direct):
O 0.6272 0.0508 0.9107  0.13
O 0.7486 0.5003 0.2603  0.13
O 0.2486 0.9997 0.7397  0.13
O 0.7514 0.4997 0.7603  0.13
O 0.8539 0.3231 0.5738  0.13
O 0.3539 0.1769 0.4262  0.13
O 0.8728 0.9492 0.4107  0.13
O 0.6461 0.6769 0.0738  0.13
O 0.6662 0.9313 0.6107  0.13
O 0.3728 0.5508 0.5893  0.13
O 0.1461 0.8231 0.9262  0.13
O 0.1662 0.5687 0.3893  0.13
O 0.8338 0.0687 0.1107  0.13
O 0.3338 0.4313 0.8893  0.13
O 0.1272 0.4492 0.0893  0.13
O 0.2514 0.0003 0.2397  0.13
Sr 0.5034 0.7370 0.8177  0.03
Sr 0.4966 0.2370 0.6823  0.03
Sr 0.0034 0.7630 0.1823  0.03
Sr 0.9966 0.2630 0.3177  0.03
C 0.8703 0.4480 0.6641  0.33
C 0.7757 0.8749 0.5103  0.32
C 0.7243 0.1251 0.0103  0.32
C 0.3703 0.0520 0.3359  0.33
C 0.6297 0.5520 0.1641  0.33
C 0.2243 0.3749 0.9897  0.32
C 0.1297 0.9480 0.8359  0.33
C 0.2757 0.6251 0.4897  0.32

From most stable to least stable, the computed energies give P, Q.